Sr4Mn3O10, relaxed, DFT GGA+U; energy above the lowest structure with this stoichiometry = 28.1 meV/atom; SG = I4/mmm
1.0
-1.947 1.947 13.992
1.947 -1.947 13.992
1.947 1.947 -13.992
Sr Mn O
4 3 10
Direct
0.069 0.069 0.000
0.201 0.201 0.000
0.799 0.799 0.000
0.931 0.931 0.000
0.360 0.360 0.000
0.500 0.500 0.000
0.640 0.640 0.000
0.000 0.500 0.500
0.138 0.638 0.500
0.291 0.291 0.000
0.362 0.862 0.500
0.431 0.431 0.000
0.500 0.000 0.500
0.569 0.569 0.000
0.638 0.138 0.500
0.709 0.709 0.000
0.862 0.362 0.500